1.
First-principles (PBE-GGA) data for a relaxed structure of Ni4IrCl, as listed in the Alexandria database.

CIF file:
```
data_Ni4IrCl
_cell_length_a 4.797
_cell_length_b 4.797
_cell_length_c 4.797
_cell_angle_alpha 60.00
_cell_angle_beta 60.00
_cell_angle_gamma 60.00
_space_group_name_H-M_alt 'P 1'
_space_group_IT_number 1
loop_
_space_group_symop_operation_xyz
'x,y,z'
loop_
_atom_site_label
_atom_site_type_symbol
_atom_site_fract_x
_atom_site_fract_y
_atom_site_fract_z
Ni1 Ni 0.125 0.125 0.125
Ni2 Ni 0.125 0.125 0.624
Ni3 Ni 0.125 0.624 0.125
Ni4 Ni 0.624 0.125 0.125
Ir1 Ir 0.500 0.500 0.500
Cl1 Cl 0.750 0.750 0.750
```

Computed properties:
V, Å³/cell: 78.1
Uncorrected formation energy, meV per atom: 633
Space group: No. 216
Density, g cm⁻³: 9.84



2.
First-principles (PBE-GGA) data for a relaxed structure of NiIrCl2, as listed in the Alexandria database.

CIF file:
```
data_NiIrCl2
_cell_length_a 3.407
_cell_length_b 3.407
_cell_length_c 12.143
_cell_angle_alpha 90.00
_cell_angle_beta 90.00
_cell_angle_gamma 90.00
_space_group_name_H-M_alt 'P 1'
_space_group_IT_number 1
loop_
_space_group_symop_operation_xyz
'x,y,z'
loop_
_atom_site_label
_atom_site_type_symbol
_atom_site_fract_x
_atom_site_fract_y
_atom_site_fract_z
Ni1 Ni 0.000 0.000 0.000
Ni2 Ni 0.500 0.500 0.500
Ir1 Ir 0.000 0.500 0.250
Ir2 Ir 0.500 0.000 0.750
Cl1 Cl 0.000 0.000 0.500
Cl2 Cl 0.000 0.500 0.750
Cl3 Cl 0.500 0.000 0.250
Cl4 Cl 0.500 0.500 0.000
```

Computed properties:
V, Å³/cell: 141.0
Uncorrected formation energy, meV per atom: 752
Space group: No. 119
Density, g cm⁻³: 7.58
ΔE to the lowest computed polymorph, meV per atom: 672



3.
First-principles (PBE-GGA) data for a relaxed structure of Ni2IrCl, as listed in the Alexandria database.

CIF file:
```
data_Ni2IrCl
_cell_length_a 2.814
_cell_length_b 2.814
_cell_length_c 6.926
_cell_angle_alpha 90.00
_cell_angle_beta 90.00
_cell_angle_gamma 90.00
_space_group_name_H-M_alt 'P 1'
_space_group_IT_number 1
loop_
_space_group_symop_operation_xyz
'x,y,z'
loop_
_atom_site_label
_atom_site_type_symbol
_atom_site_fract_x
_atom_site_fract_y
_atom_site_fract_z
Ni1 Ni 0.000 0.000 0.240
Ni2 Ni 0.000 0.000 0.760
Ir1 Ir 0.500 0.500 0.000
Cl1 Cl 0.500 0.500 0.500
```

Computed properties:
V, Å³/cell: 54.9
Uncorrected formation energy, meV per atom: 322
Space group: No. 123
Density, g cm⁻³: 10.44
ΔE to the lowest computed polymorph, meV per atom: 132



4.
First-principles (PBE-GGA) data for a relaxed structure of NiIr2Cl, as listed in the Alexandria database.

CIF file:
```
data_NiIr2Cl
_cell_length_a 4.060
_cell_length_b 4.060
_cell_length_c 6.846
_cell_angle_alpha 90.00
_cell_angle_beta 90.00
_cell_angle_gamma 90.00
_space_group_name_H-M_alt 'P 1'
_space_group_IT_number 1
loop_
_space_group_symop_operation_xyz
'x,y,z'
loop_
_atom_site_label
_atom_site_type_symbol
_atom_site_fract_x
_atom_site_fract_y
_atom_site_fract_z
Ni1 Ni 0.000 0.000 0.000
Ni2 Ni 0.500 0.500 0.500
Ir1 Ir 0.000 0.500 0.250
Ir2 Ir 0.000 0.500 0.750
Ir3 Ir 0.500 0.000 0.250
Ir4 Ir 0.500 0.000 0.750
Cl1 Cl 0.000 0.000 0.500
Cl2 Cl 0.500 0.500 0.000
```

Computed properties:
V, Å³/cell: 112.9
Uncorrected formation energy, meV per atom: 991
Space group: No. 139
Density, g cm⁻³: 14.08
ΔE to the lowest computed polymorph, meV per atom: 697



5.
First-principles (PBE-GGA) data for a relaxed structure of NiIr2Cl, as listed in the Alexandria database.

CIF file:
```
data_NiIr2Cl
_cell_length_a 2.835
_cell_length_b 2.835
_cell_length_c 24.641
_cell_angle_alpha 90.00
_cell_angle_beta 90.00
_cell_angle_gamma 120.00
_space_group_name_H-M_alt 'P 1'
_space_group_IT_number 1
loop_
_space_group_symop_operation_xyz
'x,y,z'
loop_
_atom_site_label
_atom_site_type_symbol
_atom_site_fract_x
_atom_site_fract_y
_atom_site_fract_z
Ni1 Ni 0.000 0.000 0.000
Ni2 Ni 0.333 0.667 0.667
Ni3 Ni 0.667 0.333 0.333
Ir1 Ir 0.000 0.000 0.255
Ir2 Ir 0.000 0.000 0.745
Ir3 Ir 0.333 0.667 0.412
Ir4 Ir 0.333 0.667 0.922
Ir5 Ir 0.667 0.333 0.078
Ir6 Ir 0.667 0.333 0.588
Cl1 Cl 0.000 0.000 0.500
Cl2 Cl 0.333 0.667 0.167
Cl3 Cl 0.667 0.333 0.833
```

Computed properties:
V, Å³/cell: 171.6
Uncorrected formation energy, meV per atom: 535
Space group: No. 166
Density, g cm⁻³: 13.90
ΔE to the lowest computed polymorph, meV per atom: 241



6.
First-principles (PBE-GGA) data for a relaxed structure of Ni2IrCl, as listed in the Alexandria database.

CIF file:
```
data_Ni2IrCl
_cell_length_a 3.760
_cell_length_b 3.760
_cell_length_c 3.833
_cell_angle_alpha 90.00
_cell_angle_beta 90.00
_cell_angle_gamma 90.00
_space_group_name_H-M_alt 'P 1'
_space_group_IT_number 1
loop_
_space_group_symop_operation_xyz
'x,y,z'
loop_
_atom_site_label
_atom_site_type_symbol
_atom_site_fract_x
_atom_site_fract_y
_atom_site_fract_z
Ni1 Ni 0.000 0.500 0.000
Ni2 Ni 0.500 0.000 0.000
Ir1 Ir 0.000 0.000 0.500
Cl1 Cl 0.500 0.500 0.500
```

Computed properties:
V, Å³/cell: 54.2
Uncorrected formation energy, meV per atom: 863
Space group: No. 123
Density, g cm⁻³: 10.57
ΔE to the lowest computed polymorph, meV per atom: 673



7.
First-principles (PBE-GGA) data for a relaxed structure of Ni2IrCl, as listed in the Alexandria database.

CIF file:
```
data_Ni2IrCl
_cell_length_a 2.860
_cell_length_b 2.860
_cell_length_c 22.662
_cell_angle_alpha 90.00
_cell_angle_beta 90.00
_cell_angle_gamma 120.00
_space_group_name_H-M_alt 'P 1'
_space_group_IT_number 1
loop_
_space_group_symop_operation_xyz
'x,y,z'
loop_
_atom_site_label
_atom_site_type_symbol
_atom_site_fract_x
_atom_site_fract_y
_atom_site_fract_z
Ni1 Ni 0.000 0.000 0.247
Ni2 Ni 0.000 0.000 0.753
Ni3 Ni 0.333 0.667 0.419
Ni4 Ni 0.333 0.667 0.914
Ni5 Ni 0.667 0.333 0.086
Ni6 Ni 0.667 0.333 0.581
Ir1 Ir 0.000 0.000 0.000
Ir2 Ir 0.333 0.667 0.667
Ir3 Ir 0.667 0.333 0.333
Cl1 Cl 0.000 0.000 0.500
Cl2 Cl 0.333 0.667 0.167
Cl3 Cl 0.667 0.333 0.833
```

Computed properties:
V, Å³/cell: 160.5
Uncorrected formation energy, meV per atom: 244
Space group: No. 166
Density, g cm⁻³: 10.71
ΔE to the lowest computed polymorph, meV per atom: 55



8.
First-principles (PBE-GGA) data for a relaxed structure of NiIr2Cl, as listed in the Alexandria database.

CIF file:
```
data_NiIr2Cl
_cell_length_a 6.156
_cell_length_b 6.156
_cell_length_c 6.156
_cell_angle_alpha 90.00
_cell_angle_beta 90.00
_cell_angle_gamma 90.00
_space_group_name_H-M_alt 'P 1'
_space_group_IT_number 1
loop_
_space_group_symop_operation_xyz
'x,y,z'
loop_
_atom_site_label
_atom_site_type_symbol
_atom_site_fract_x
_atom_site_fract_y
_atom_site_fract_z
Ni1 Ni 0.000 0.000 0.000
Ni2 Ni 0.000 0.500 0.500
Ni3 Ni 0.500 0.000 0.500
Ni4 Ni 0.500 0.500 0.000
Ir1 Ir 0.000 0.000 0.500
Ir2 Ir 0.000 0.500 0.000
Ir3 Ir 0.250 0.250 0.250
Ir4 Ir 0.250 0.750 0.750
Ir5 Ir 0.500 0.000 0.000
Ir6 Ir 0.500 0.500 0.500
Ir7 Ir 0.750 0.250 0.750
Ir8 Ir 0.750 0.750 0.250
Cl1 Cl 0.250 0.250 0.750
Cl2 Cl 0.250 0.750 0.250
Cl3 Cl 0.750 0.250 0.250
Cl4 Cl 0.750 0.750 0.750
```

Computed properties:
V, Å³/cell: 233.3
Uncorrected formation energy, meV per atom: 891
Space group: No. 216
Density, g cm⁻³: 13.63
ΔE to the lowest computed polymorph, meV per atom: 597



9.
First-principles (PBE-GGA) data for a relaxed structure of NiIrCl2, as listed in the Alexandria database.

CIF file:
```
data_NiIrCl2
_cell_length_a 2.899
_cell_length_b 5.437
_cell_length_c 9.408
_cell_angle_alpha 90.00
_cell_angle_beta 90.00
_cell_angle_gamma 90.00
_space_group_name_H-M_alt 'P 1'
_space_group_IT_number 1
loop_
_space_group_symop_operation_xyz
'x,y,z'
loop_
_atom_site_label
_atom_site_type_symbol
_atom_site_fract_x
_atom_site_fract_y
_atom_site_fract_z
Ni1 Ni 0.000 0.000 0.000
Ni2 Ni 0.500 0.500 0.000
Ir1 Ir 0.000 0.500 0.783
Ir2 Ir 0.500 0.000 0.783
Cl1 Cl 0.000 0.000 0.576
Cl2 Cl 0.000 0.500 0.179
Cl3 Cl 0.500 0.000 0.179
Cl4 Cl 0.500 0.500 0.576
```

Computed properties:
V, Å³/cell: 148.3
Uncorrected formation energy, meV per atom: 307
Space group: No. 35
Density, g cm⁻³: 7.21
ΔE to the lowest computed polymorph, meV per atom: 227



10.
First-principles (PBE-GGA) data for a relaxed structure of Ni2IrCl, as listed in the Alexandria database.

CIF file:
```
data_Ni2IrCl
_cell_length_a 2.756
_cell_length_b 4.563
_cell_length_c 8.461
_cell_angle_alpha 90.00
_cell_angle_beta 90.00
_cell_angle_gamma 90.00
_space_group_name_H-M_alt 'P 1'
_space_group_IT_number 1
loop_
_space_group_symop_operation_xyz
'x,y,z'
loop_
_atom_site_label
_atom_site_type_symbol
_atom_site_fract_x
_atom_site_fract_y
_atom_site_fract_z
Ni1 Ni 0.000 0.000 0.240
Ni2 Ni 0.000 0.000 0.760
Ni3 Ni 0.500 0.500 0.260
Ni4 Ni 0.500 0.500 0.740
Ir1 Ir 0.000 0.500 0.000
Ir2 Ir 0.500 0.000 0.500
Cl1 Cl 0.000 0.500 0.500
Cl2 Cl 0.500 0.000 0.000
```

Computed properties:
V, Å³/cell: 106.4
Uncorrected formation energy, meV per atom: 677
Space group: No. 71
Density, g cm⁻³: 10.77
ΔE to the lowest computed polymorph, meV per atom: 487



11.
First-principles (PBE-GGA) data for a relaxed structure of NiIr2Cl, as listed in the Alexandria database.

CIF file:
```
data_NiIr2Cl
_cell_length_a 2.805
_cell_length_b 2.808
_cell_length_c 7.554
_cell_angle_alpha 90.00
_cell_angle_beta 90.00
_cell_angle_gamma 90.00
_space_group_name_H-M_alt 'P 1'
_space_group_IT_number 1
loop_
_space_group_symop_operation_xyz
'x,y,z'
loop_
_atom_site_label
_atom_site_type_symbol
_atom_site_fract_x
_atom_site_fract_y
_atom_site_fract_z
Ni1 Ni 0.000 0.000 0.000
Ir1 Ir 0.000 0.000 0.462
Ir2 Ir 0.500 0.500 0.225
Cl1 Cl 0.000 0.500 0.748
```

Computed properties:
V, Å³/cell: 59.5
Uncorrected formation energy, meV per atom: 294
Space group: No. 25
Density, g cm⁻³: 13.35
ΔE to the lowest computed polymorph, meV per atom: 0



12.
First-principles (PBE-GGA) data for a relaxed structure of NiIr2Cl, as listed in the Alexandria database.

CIF file:
```
data_NiIr2Cl
_cell_length_a 8.501
_cell_length_b 2.793
_cell_length_c 7.439
_cell_angle_alpha 90.00
_cell_angle_beta 123.59
_cell_angle_gamma 90.00
_space_group_name_H-M_alt 'P 1'
_space_group_IT_number 1
loop_
_space_group_symop_operation_xyz
'x,y,z'
loop_
_atom_site_label
_atom_site_type_symbol
_atom_site_fract_x
_atom_site_fract_y
_atom_site_fract_z
Ni1 Ni 0.000 0.000 0.000
Ni2 Ni 0.500 0.500 0.000
Ir1 Ir 0.126 0.500 0.804
Ir2 Ir 0.286 0.000 0.663
Ir3 Ir 0.626 0.000 0.804
Ir4 Ir 0.786 0.500 0.663
Cl1 Cl 0.134 0.500 0.295
Cl2 Cl 0.634 0.000 0.295
```

Computed properties:
V, Å³/cell: 147.1
Uncorrected formation energy, meV per atom: 418
Space group: No. 8
Density, g cm⁻³: 10.80
ΔE to the lowest computed polymorph, meV per atom: 124



Which formula does entry 11 have?
NiIr2Cl



The lowest V belongs to which entry?
number 6